No. 1
Compound: S
Source: Alexandria
Functional: GGA-PBE
Structure: optimized geometry

The space group is P4/mmm (No. 123) and the conventional cell measures 2.527, 2.527 and 2.688 Å, with angles of 90.00, 90.00 and 90.00 degrees. The asymmetric unit holds S at (0.000, 0.000, 0.000).

The total magnetization comes out at 0.00 μB/cell. Its uncorrected formation energy is 0.619 eV/atom. For the calculated volume, the calculation gives 17 Å³/cell. As for the final energy: -3.509 eV per atom. As for the theoretical density: 3.1 Mg/m³.

---

No. 2
Compound: S
Source: Alexandria
Functional: GGA-PBE
Structure: optimized geometry

The space group is P2/m (No. 10) and the conventional cell measures 3.812, 3.111 and 4.984 Å, with angles of 90.00, 94.31 and 90.00 degrees. The asymmetric unit holds S at (0.205, 0.000, 0.123).

The total magnetization comes out at 0.00 μB/cell. Its uncorrected formation energy is 0.250 eV/atom. For the calculated volume, the calculation gives 59 Å³/cell. As for the final energy: -3.877 eV per atom. As for the theoretical density: 1.8 Mg/m³.

---

No. 3
Compound: S
Source: Alexandria
Functional: GGA-PBE
Structure: optimized geometry

The space group is P3 (No. 143) and the conventional cell measures 11.8846, 11.8846 and 5.5161 Å, with angles of 90.00, 90.00 and 120.00 degrees. The asymmetric unit holds S at (0.0216, 0.9115, 0.0000), S at (0.0613, 0.5016, 0.0243), S at (0.1542, 0.6832, 0.1699), S at (0.1851, 0.4387, 0.8919), S at (0.2939, 0.1181, 0.5074) and S at (0.4622, 0.2693, 0.5056).

The total magnetization comes out at 6.00 μB/cell. Its uncorrected formation energy is 0.297 eV/atom. For the calculated volume, the calculation gives 675 Å³/cell. As for the final energy: -3.830 eV per atom. As for the theoretical density: 1.4 Mg/m³.

---

Among the records above, which one has the highest calculated volume? number 3

---

Number 3 is which compound? S